# TlAuCl4 | Alexandria via LeMat-Bulk | GGA-PBE | relaxed
# **Formation energy from raw total energies**: 0.366 eV/atom
data_TlAuCl4
_chemical_formula_sum 'Tl1 Au1 Cl4'
_cell_length_a 6.068
_cell_length_b 6.068
_cell_length_c 6.068
_cell_angle_alpha 60.00
_cell_angle_beta 60.00
_cell_angle_gamma 60.00
_symmetry_space_group_name_H-M 'P 1'
_symmetry_Int_Tables_number 1
loop_
_symmetry_equiv_pos_as_xyz
'x,y,z'
loop_
_atom_site_label
_atom_site_fract_x
_atom_site_fract_y
_atom_site_fract_z
_atom_site_occupancy
Tl1 0.750 0.750 0.750 1
Au1 0.000 0.000 0.000 1
Cl1 0.876 0.375 0.375 1
Cl2 0.375 0.375 0.876 1
Cl3 0.375 0.876 0.375 1
Cl4 0.375 0.375 0.375 1